LiWNO2: relaxed, PBE+U.

Magnetization ... 0.025 μB/f.u.
Total DFT energy (no corrections) ... -6.720 eV per atom

a = 3.925 Å, b = 3.925 Å, c = 3.941 Å
α = 90.00°, β = 90.00°, γ = 90.00°
Space group P4/mmm (No. 123)
Symmetry-distinct sites (fractional):
Li  0.000  0.000  0.000 [1 per cell]
W  0.500  0.500  0.500 [1 per cell]
N  0.500  0.500  0.000 [1 per cell]
O  0.000  0.500  0.500 [2 per cell]